# GGA-PBE Cu3Ni4H2, optimized geometry
data_Cu3Ni4H2
_chemical_formula_sum 'Cu3 Ni4 H2'
_cell_length_a 2.5040
_cell_length_b 6.4331
_cell_length_c 6.3420
_cell_angle_alpha 122.03
_cell_angle_beta 90.00
_cell_angle_gamma 101.22
_space_group_name_H-M_alt 'P 1'
_space_group_IT_number 1
loop_
_space_group_symop_operation_xyz
'x,y,z'
loop_
_atom_site_label
_atom_site_type_symbol
_atom_site_fract_x
_atom_site_fract_y
_atom_site_fract_z
Cu1 Cu 0.3580 0.7160 0.5594
Cu2 Cu 0.0000 0.0000 0.0000
Cu3 Cu 0.6420 0.2840 0.4406
Ni1 Ni 0.7025 0.4049 0.1269
Ni2 Ni 0.0703 0.1406 0.7157
Ni3 Ni 0.9297 0.8594 0.2843
Ni4 Ni 0.2975 0.5951 0.8731
H1 H 0.3176 0.6351 0.1943
H2 H 0.6824 0.3649 0.8057
# * magnetization: 0.000 Bohr magnetons per cell
# * total energy: -4.65 eV/atom
# * density: 8.420 g cm⁻³